Material: Ba3W2O9
Method: DFT, PBE+U
State: optimized geometry

Cell: 7.6325 7.6325 7.6325 Å, 85.04 85.04 85.04°
Element x y z (fractional)
Ba1 0.5802 0.9198 0.2500
Ba2 0.9198 0.2500 0.5802
Ba3 0.2500 0.5802 0.9198
Ba4 0.4198 0.0802 0.7500
Ba5 0.7500 0.4198 0.0802
Ba6 0.0802 0.7500 0.4198
W1 0.1465 0.1465 0.1465
W2 0.3535 0.3535 0.3535
W3 0.8535 0.8535 0.8535
W4 0.6465 0.6465 0.6465
O1 0.2534 0.9294 0.0882
O2 0.0882 0.2534 0.9294
O3 0.9294 0.0882 0.2534
O4 0.2466 0.4118 0.5706
O5 0.5706 0.2466 0.4118
O6 0.4118 0.5706 0.2466
O7 0.7466 0.0706 0.9118
O8 0.9118 0.7466 0.0706
O9 0.0706 0.9118 0.7466
O10 0.7534 0.5882 0.4294
O11 0.1050 0.3950 0.2500
O12 0.3950 0.2500 0.1050
O13 0.2500 0.1050 0.3950
O14 0.8950 0.6050 0.7500
O15 0.6050 0.7500 0.8950
O16 0.7500 0.8950 0.6050
O17 0.5882 0.4294 0.7534
O18 0.4294 0.7534 0.5882

Total energy: -7.172 eV per atom